SrLa2YPd | PBE-GGA | relaxed

Energy of formation from the pure elements in meV per atom: -174
VASP energy in eV per atom: -4.8127
SG: No. 123

POSCAR file:
```
SrLa2YPd
1.0
5.7701 0.0000 0.0000
0.0000 5.7701 0.0000
0.0000 0.0000 5.7696
Sr Pd La Y
1 1 2 1
Direct
0.5000 0.5000 0.5000 Sr
0.0000 0.0000 0.0000 Pd
0.5000 0.0000 0.0000 La
0.0000 0.5000 0.0000 La
0.0000 0.0000 0.5000 Y
```